Pr5Si2N PBE-GGA optimized geometry; energy relative to the elements, uncorrected = -3.524 eV per formula unit
1.0
2.904 -6.258 0.000
2.904 6.258 0.000
0.000 0.000 13.193
Pr Si N
10 4 2
direct
0.056 0.944 0.628
0.056 0.944 0.872
0.297 0.703 0.250
0.337 0.663 0.603
0.337 0.663 0.897
0.663 0.337 0.103
0.663 0.337 0.397
0.703 0.297 0.750
0.944 0.056 0.128
0.944 0.056 0.372
0.173 0.827 0.066
0.173 0.827 0.434
0.827 0.173 0.566
0.827 0.173 0.934
0.211 0.789 0.750
0.789 0.211 0.250